No. 1
Tl2Cd4Ni: relaxed, PBE.

Summary:
Total magnetization = 0.00 μB/cell
Energy of formation from the pure elements = 0.17 eV per atom
Crystal system = tetragonal

Cell lengths 5.048, 5.048, 15.357 Å; angles 90.00, 90.00, 90.00 degrees
Space group I4/mmm (No. 139)
Asymmetric unit:
Tl  0.000  0.000  0.140 [4 per cell]
Cd  0.000  0.000  0.335 [4 per cell]
Cd  0.000  0.500  0.000 [4 per cell]
Ni  0.000  0.000  0.500 [2 per cell]

---

No. 2
Tl2CdNi: relaxed, PBE.

Summary:
Total magnetization = 0.00 μB/cell
Excess energy over the best structure of this formula in the dataset = 19 meV/atom
Energy of formation from the pure elements = 0.17 eV per atom
Crystal system = orthorhombic

Cell lengths 3.131, 4.425, 13.417 Å; angles 90.00, 90.00, 90.00 degrees
Space group Imm2 (No. 44)
Asymmetric unit:
Tl  0.000  0.000  0.000 [2 per cell]
Tl  0.000  0.500  0.192 [2 per cell]
Cd  0.000  0.500  0.827 [2 per cell]
Ni  0.000  0.000  0.497 [2 per cell]

---

No. 3
Tl2CdNi: relaxed, PBE.

Summary:
Total magnetization = 0.00 μB/cell
Excess energy over the best structure of this formula in the dataset = 225 meV/atom
Energy of formation from the pure elements = 0.37 eV per atom
Crystal system = orthorhombic

Cell lengths 6.594, 7.216, 3.752 Å; angles 90.00, 90.00, 90.00 degrees
Space group Cmmm (No. 65)
Asymmetric unit:
Tl  0.250  0.250  0.000 [4 per cell]
Cd  0.000  0.000  0.500 [2 per cell]
Ni  0.000  0.500  0.500 [2 per cell]